{"formula": "TlHg8", "functional": "PBE", "state": "relaxed", "total_energy_ev_per_atom": -0.544, "formation_enthalpy_0k_ev_per_atom": -0.013, "m_tot_mub_per_atom": 0.00, "crystal_system": "tetragonal", "cell": [[-1.710, 2.860, -2.834], [1.512, -2.879, -7.192], [-7.422, -2.361, -1.280]], "species": ["Hg", "Hg", "Hg", "Hg", "Hg", "Hg", "Hg", "Tl", "Hg"], "frac_coords": [[0.329, 0.000, 0.342], [0.671, 0.658, 0.000], [0.336, 0.664, 0.664], [0.329, 0.342, 0.000], [0.000, 0.336, 0.664], [0.671, 0.000, 0.658], [0.664, 0.336, 0.336], [0.000, 0.000, 0.000], [0.000, 0.664, 0.336]]}